DFT (PBE) results for an optimized crystal structure of Te2WSe.

Computed properties:
ΔE_f (raw) = 313 meV/atom
D(E_F) = 0.617 states/eV per atom
calculated total energy = -5.37 eV per atom

Cell lengths 7.2422, 7.2422, 7.2422 Å; angles 154.68, 137.83, 49.83 degrees
Fractional coordinates of all 4 atoms:
Te1 0.0000 0.0000 0.0000
Te2 0.6331 0.1331 0.5000
W1 0.1807 0.6807 0.5000
Se1 0.3254 0.3254 0.0000